Record 1
VASP calculation (PBE) on a relaxed AcTbIn2 crystal.

Total magnetization ... 0.000 μB per atom
E_tot ... -3.82 eV/atom
ΔE_f ... -25.3 kJ per mole of atoms

abc: 10.3005 10.3005 10.3005
angles: 21.77 21.77 21.77
Fractional positions:
Ac  0.0000  0.0000  0.0000
Tb  0.5000  0.5000  0.5000
In  0.2440  0.2440  0.2440
In  0.7560  0.7560  0.7560

---

Record 2
VASP calculation (PBE) on a relaxed LiCa2Tl6Ag crystal.

Total magnetization ... 0.000 μB per atom
E_tot ... -2.43 eV/atom
ΔE_f ... -12.9 kJ per mole of atoms

abc: 6.4499 6.6805 6.7365
angles: 76.03 86.61 87.95
Fractional positions:
Li  0.0000  0.0000  0.0000
Ca  0.2671  0.1723  0.3372
Ca  0.7329  0.8277  0.6628
Tl  0.1053  0.6942  0.3524
Tl  0.2298  0.6341  0.8753
Tl  0.3858  0.1675  0.8360
Tl  0.6142  0.8325  0.1640
Tl  0.7702  0.3659  0.1247
Tl  0.8947  0.3058  0.6476
Ag  0.5000  0.5000  0.5000

---

Record 3
VASP calculation (PBE) on a relaxed ScTcOs2 crystal.

Total magnetization ... 0.000 μB per atom
Excess energy over the best structure of this formula in the dataset ... 149 kJ/mol of formula units
E_tot ... -9.47 eV/atom
ΔE_f ... 30.9 kJ per mole of atoms

abc: 2.7514 2.7514 8.9274
angles: 90.00 90.00 112.72
Fractional positions:
Sc  0.0000  0.0000  0.0000
Tc  0.5000  0.5000  0.7396
Os  0.0000  0.0000  0.5010
Os  0.5000  0.5000  0.2515

---

Record 4
VASP calculation (PBE) on a relaxed LiErGe2 crystal.

Total magnetization ... 0.000 μB per atom
Excess energy over the best structure of this formula in the dataset ... 75 kJ/mol of formula units
E_tot ... -4.33 eV/atom
ΔE_f ... -38.5 kJ per mole of atoms

abc: 4.8374 4.8374 4.8374
angles: 60.00 60.00 60.00
Fractional positions:
Li  0.0000  0.0000  0.0000
Er  0.5000  0.5000  0.5000
Ge  0.2500  0.2500  0.2500
Ge  0.7500  0.7500  0.7500

---

Record 5
VASP calculation (PBE) on a relaxed CuBSCl2 crystal.

Total magnetization ... 0.000 μB per atom
Raw formation energy ... 568 meV per atom
Excess energy over the best structure of this formula in the dataset ... 0 kJ/mol of formula units
E_tot ... -3.15 eV/atom

abc: 5.0265 5.0265 3.5445
angles: 90.00 90.00 90.00
Fractional positions:
Cu  0.0000  0.0000  0.0000
B  0.5000  0.5000  0.5000
S  0.5000  0.5000  0.0000
Cl  0.0000  0.5000  0.5000
Cl  0.5000  0.0000  0.5000

---

Record 6
VASP calculation (PBE) on a relaxed CrCdIn crystal.

Total magnetization ... 1.278 μB per atom
Excess energy over the best structure of this formula in the dataset ... 14 kJ/mol of formula units
E_tot ... -4.04 eV/atom
ΔE_f ... 37.3 kJ per mole of atoms

abc: 4.7814 4.7814 3.1112
angles: 90.00 90.00 120.00
Fractional positions:
Cr  0.0000  0.0000  0.0000
Cd  0.6667  0.3333  0.5930
In  0.3333  0.6667  0.3789

---

Record 7
VASP calculation (PBE) on a relaxed VTeP2 crystal.

Total magnetization ... 0.287 μB per atom
Raw formation energy ... 279 meV per atom
E_tot ... -5.49 eV/atom

abc: 6.9676 6.9676 6.9676
angles: 130.15 130.15 73.16
Fractional positions:
V  0.0000  0.0000  0.0000
V  0.7500  0.2500  0.5000
Te  0.2500  0.7500  0.5000
Te  0.5000  0.5000  0.0000
P  0.0590  0.6250  0.9340
P  0.3750  0.3090  0.4340
P  0.6910  0.1250  0.0660
P  0.8750  0.9410  0.5660

---

Record 8
VASP calculation (PBE) on a relaxed Ho2Ge5Pd3 crystal.

Total magnetization ... 0.000 μB per atom
Excess energy over the best structure of this formula in the dataset ... 0 kJ/mol of formula units
E_tot ... -5.45 eV/atom
ΔE_f ... -64.7 kJ per mole of atoms

abc: 8.4447 8.4447 8.4447
angles: 104.60 90.66 137.42
Fractional positions:
Ho  0.1311  0.2270  0.3581
Ho  0.3689  0.7270  0.0958
Ho  0.6311  0.2730  0.9042
Ho  0.8689  0.7730  0.6419
Ge  0.0260  0.7500  0.2760
Ge  0.1041  0.6582  0.7622
Ge  0.2500  0.2500  0.0000
Ge  0.3959  0.1582  0.5541
Ge  0.4740  0.7500  0.7240
Ge  0.5260  0.2500  0.2760
Ge  0.6041  0.8418  0.4459
Ge  0.7500  0.7500  0.0000
Ge  0.8959  0.3418  0.2378
Ge  0.9740  0.2500  0.7240
Pd  0.1429  0.8865  0.0294
Pd  0.2500  0.7500  0.5000
Pd  0.3571  0.3865  0.7436
Pd  0.6429  0.6135  0.2564
Pd  0.7500  0.2500  0.5000
Pd  0.8571  0.1135  0.9706

---

Record 9
VASP calculation (PBE) on a relaxed TiCu2Pb2 crystal.

Total magnetization ... 0.000 μB per atom
E_tot ... -4.45 eV/atom
ΔE_f ... 24.0 kJ per mole of atoms

abc: 7.0169 7.0169 3.9665
angles: 90.00 90.00 90.00
Fractional positions:
Ti  0.0000  0.0000  0.0000
Ti  0.5000  0.5000  0.0000
Cu  0.1235  0.3765  0.0000
Cu  0.3765  0.8765  0.0000
Cu  0.6235  0.1235  0.0000
Cu  0.8765  0.6235  0.0000
Pb  0.1806  0.6806  0.5000
Pb  0.3194  0.1806  0.5000
Pb  0.6806  0.8194  0.5000
Pb  0.8194  0.3194  0.5000

---

Record 10
VASP calculation (PBE) on a relaxed SrV2FeB crystal.

Total magnetization ... 0.001 μB per atom
E_tot ... -6.33 eV/atom
ΔE_f ... 66.0 kJ per mole of atoms

abc: 4.3475 4.3475 4.0100
angles: 90.00 90.00 90.00
Fractional positions:
Sr  0.0000  0.0000  0.0000
V  0.0000  0.5000  0.5000
V  0.5000  0.0000  0.5000
Fe  0.5000  0.5000  0.0000
B  0.5000  0.5000  0.5000

---

Record 11
VASP calculation (PBE) on a relaxed BaYTe crystal.

Total magnetization ... 0.347 μB per atom
Raw formation energy ... -785 meV per atom
Excess energy over the best structure of this formula in the dataset ... 2 kJ/mol of formula units
E_tot ... -4.63 eV/atom

abc: 4.3286 4.3286 7.5780
angles: 90.00 90.00 120.00
Fractional positions:
Ba  0.0000  0.0000  0.0000
Y  0.3333  0.6667  0.5538
Te  0.6667  0.3333  0.3179

---

Record 12
VASP calculation (PBE) on a relaxed BaLi4CdAg2 crystal.

Total magnetization ... 0.000 μB per atom
E_tot ... -2.16 eV/atom
ΔE_f ... -13.5 kJ per mole of atoms

abc: 10.1769 10.1769 10.1769
angles: 26.29 26.29 26.29
Fractional positions:
Ba  0.0000  0.0000  0.0000
Li  0.1330  0.1330  0.1330
Li  0.4106  0.4106  0.4106
Li  0.5894  0.5894  0.5894
Li  0.8670  0.8670  0.8670
Cd  0.5000  0.5000  0.5000
Ag  0.2328  0.2328  0.2328
Ag  0.7672  0.7672  0.7672

---

Q: What is the E_tot in the second record?
A: -2.43 eV/atom